## La3Tb3HoSe8 (PBE)

Data for crystalline La3Tb3HoSe8 at its relaxed geometry.

Lattice parameters (Å, degrees): 8.304 8.304 8.436 119.48 90.00 120.00
Positions (direct):
Se1 0.257 0.011 0.265
La1 0.000 0.000 0.000
La2 0.500 0.500 0.000
Tb1 0.000 0.500 0.500
Se2 0.743 0.989 0.735
Se3 0.744 0.489 0.734
Se4 0.256 0.511 0.266
Tb2 0.500 0.000 0.500
Tb3 0.500 0.500 0.500
Se5 0.754 0.011 0.265
Se6 0.246 0.989 0.735
Se7 0.246 0.492 0.735
La3 0.000 0.500 0.000
Se8 0.754 0.508 0.265
Ho1 0.000 0.000 0.500

The space group is R-3m.

***

## LaTb2HoSe4 (PBE)

Data for crystalline LaTb2HoSe4 at its relaxed geometry.

Lattice parameters (Å, degrees): 4.088 7.153 7.263 71.20 90.00 90.00
Positions (direct):
Tb1 0.000 0.000 0.000
Se1 0.500 0.248 0.742
Se2 0.000 0.760 0.737
Se3 0.000 0.240 0.263
Ho1 0.000 0.500 0.500
Se4 0.500 0.752 0.258
Tb2 0.500 0.000 0.500
La1 0.500 0.500 0.000

The space group is P2/m.

***

## La3Tb4HoSe8 (PBE)

Data for crystalline La3Tb4HoSe8 at its relaxed geometry.

Lattice parameters (Å, degrees): 8.338 8.362 8.337 119.89 120.00 90.00
Positions (direct):
Se1 0.244 0.233 0.488
Tb1 0.500 0.000 0.500
Se2 0.237 0.240 0.988
Se3 0.249 0.760 0.012
Tb2 0.000 0.000 0.500
Tb3 0.500 0.000 0.000
Se4 0.763 0.760 0.012
La1 0.500 0.500 0.500
Tb4 0.000 0.000 0.000
Se5 0.249 0.760 0.497
La2 0.500 0.500 0.000
Ho1 0.000 0.500 0.000
Se6 0.751 0.240 0.503
La3 0.000 0.500 0.500
Se7 0.756 0.767 0.512
Se8 0.751 0.240 0.988

The space group is R-3m.

***

## La2TbHoSe6 (PBE)

Data for crystalline La2TbHoSe6 at its relaxed geometry.

Lattice parameters (Å, degrees): 7.440 7.440 7.786 61.46 61.46 60.01
Positions (direct):
Se1 0.196 0.940 0.260
La1 0.022 0.022 0.933
Se2 0.698 0.101 0.758
Se3 0.443 0.698 0.758
Se4 0.940 0.604 0.260
Tb1 0.318 0.317 0.048
Ho1 0.818 0.818 0.546
La2 0.522 0.522 0.434
Se5 0.604 0.196 0.260
Se6 0.101 0.443 0.758

The space group is R3.

***

ΔE_f (raw) per entry: -1921.4; -1807.0; -1845.3; -1918.2 meV per atom
Calculated total energy per entry: -6.00; -5.89; -5.96; -5.92 eV per atom
Size of the total moment per entry: 0.00; 0.00; 0.00; 0.00 μB/f.u.